# 1
Below is crystalline PmGa2Au9 at its relaxed geometry, with properties calculated at the GGA-PBE level.

- formation enthalpy at 0 K (eV/atom) = -0.2629

Structure (CIF):
```
data_PmGa2Au9
_chemical_formula_sum 'Pm4 Ga8 Au36'
_space_group_name_H-M_alt 'I 41/a m d'
_space_group_IT_number 141
_cell_length_a 11.465
_cell_length_b 11.465
_cell_length_c 7.100
_cell_angle_alpha 90.00
_cell_angle_beta 90.00
_cell_angle_gamma 90.00
loop_
_space_group_symop_operation_xyz
'x,y,z'
'-x,-y,-z'
'-y+1/4,x+3/4,z+1/4'
'y+1/4,-x+3/4,-z+1/4'
'-x+1/2,-y,z+1/2'
'x+1/2,y,-z+1/2'
'y+1/4,-x+1/4,z+3/4'
'-y+1/4,x+1/4,-z+3/4'
'x,-y,-z'
'-x,y,z'
'-y+1/4,-x+1/4,-z+3/4'
'y+1/4,x+1/4,z+3/4'
'-x+1/2,y,-z+1/2'
'x+1/2,-y,z+1/2'
'y+1/4,x+3/4,-z+1/4'
'-y+1/4,-x+3/4,z+1/4'
'x+1/2,y+1/2,z+1/2'
'-x+1/2,-y+1/2,-z+1/2'
'-y+3/4,x+1/4,z+3/4'
'y+3/4,-x+1/4,-z+3/4'
'-x,-y+1/2,z'
'x,y+1/2,-z'
'y+3/4,-x+3/4,z+1/4'
'-y+3/4,x+3/4,-z+1/4'
'x+1/2,-y+1/2,-z+1/2'
'-x+1/2,y+1/2,z+1/2'
'-y+3/4,-x+3/4,-z+1/4'
'y+3/4,x+3/4,z+1/4'
'-x,y+1/2,-z'
'x,-y+1/2,z'
'y+3/4,x+1/4,-z+3/4'
'-y+3/4,-x+1/4,z+3/4'
loop_
_atom_site_label
_atom_site_fract_x
_atom_site_fract_y
_atom_site_fract_z
Pm1 0.000 0.250 0.375
Ga1 0.000 0.000 0.000
Au1 0.000 0.250 0.875
Au2 0.122 0.064 0.665
```

=====

# 2
Below is crystalline SrErTh2 at its relaxed geometry, with properties calculated at the GGA-PBE level.

- formation enthalpy at 0 K (eV/atom) = 0.3017

Structure (CIF):
```
data_SrErTh2
_chemical_formula_sum 'Sr3 Er3 Th6'
_space_group_name_H-M_alt 'R -3 m'
_space_group_IT_number 166
_space_group_name_Hall '-R 3 2"'
_cell_length_a 3.5493
_cell_length_b 3.5493
_cell_length_c 39.0613
_cell_angle_alpha 90.00
_cell_angle_beta 90.00
_cell_angle_gamma 120.00
loop_
_atom_site_label
_atom_site_fract_x
_atom_site_fract_y
_atom_site_fract_z
Sr1 0.0000 0.0000 0.0000
Er1 0.0000 0.0000 0.5000
Th1 0.0000 0.0000 0.0921
```

=====

# 3
Below is crystalline Li5GeN3 at its relaxed geometry, with properties calculated at the GGA-PBE level.

- E_form (uncorrected) (eV per formula unit) = -3.90
- offset from the most stable computed form (kJ per mole of atoms) = 5.27

Structure (CIF):
```
data_Li5GeN3
_chemical_formula_sum 'Li20 Ge4 N12'
_space_group_name_H-M_alt 'C 1 2/c 1'
_space_group_IT_number 15
_cell_length_a 10.858
_cell_length_b 4.837
_cell_length_c 6.714
_cell_angle_alpha 90.00
_cell_angle_beta 107.83
_cell_angle_gamma 90.00
loop_
_space_group_symop_operation_xyz
'x,y,z'
'-x,-y,-z'
'-x,y,-z+1/2'
'x,-y,z+1/2'
'x+1/2,y+1/2,z'
'-x+1/2,-y+1/2,-z'
'-x+1/2,y+1/2,-z+1/2'
'x+1/2,-y+1/2,z+1/2'
loop_
_atom_site_label
_atom_site_fract_x
_atom_site_fract_y
_atom_site_fract_z
Li1 0.000 0.239 0.250
Li2 0.165 0.255 0.564
Li3 0.177 0.236 0.102
Ge1 0.000 0.249 0.750
N1 0.000 0.500 0.000
N2 0.152 0.040 0.821
```

=====

# 4
Below is crystalline ZrNiHg at its relaxed geometry, with properties calculated at the GGA-PBE level.

- formation enthalpy at 0 K (eV/atom) = -0.2722
- offset from the most stable computed form (kJ per mole of atoms) = 6.25

Structure (CIF):
```
data_ZrNiHg
_chemical_formula_sum 'Zr6 Ni6 Hg6'
_space_group_name_H-M_alt 'P m m a'
_space_group_IT_number 51
_cell_length_a 12.891
_cell_length_b 3.422
_cell_length_c 7.356
_cell_angle_alpha 90.00
_cell_angle_beta 90.00
_cell_angle_gamma 90.00
loop_
_space_group_symop_operation_xyz
'x,y,z'
'-x,-y,-z'
'-x+1/2,-y,z'
'x+1/2,y,-z'
'x+1/2,-y,-z'
'-x+1/2,y,z'
'-x,y,-z'
'x,-y,z'
loop_
_atom_site_label
_atom_site_fract_x
_atom_site_fract_y
_atom_site_fract_z
Zr1 0.051 0.000 0.212
Zr2 0.250 0.000 0.830
Ni1 0.089 0.500 0.937
Ni2 0.250 0.000 0.448
Hg1 0.108 0.500 0.570
Hg2 0.250 0.500 0.171
```

=====

# 5
Below is crystalline Pr3IrPb at its relaxed geometry, with properties calculated at the GGA-PBE level.

- formation enthalpy at 0 K (eV/atom) = -0.3659
- offset from the most stable computed form (kJ per mole of atoms) = 20.42

Structure (CIF):
```
data_Pr3IrPb
_chemical_formula_sum 'Pr3 Ir1 Pb1'
_space_group_name_H-M_alt 'P m -3 m'
_space_group_IT_number 221
_space_group_name_Hall '-P 4 2 3'
_cell_length_a 5.574
_cell_length_b 5.574
_cell_length_c 5.574
_cell_angle_alpha 90.00
_cell_angle_beta 90.00
_cell_angle_gamma 90.00
loop_
_atom_site_label
_atom_site_fract_x
_atom_site_fract_y
_atom_site_fract_z
Pr1 0.000 0.000 0.500
Ir1 0.000 0.000 0.000
Pb1 0.500 0.500 0.500
```

=====

# 6
Below is crystalline Ba2ZrIn at its relaxed geometry, with properties calculated at the GGA-PBE level.

- formation enthalpy at 0 K (eV/atom) = 0.1547

Structure (CIF):
```
data_Ba2ZrIn
_chemical_formula_sum 'Ba4 Zr2 In2'
_space_group_name_H-M_alt 'I m m 2'
_space_group_IT_number 44
_cell_length_a 3.902
_cell_length_b 6.083
_cell_length_c 12.711
_cell_angle_alpha 90.00
_cell_angle_beta 90.00
_cell_angle_gamma 90.00
loop_
_space_group_symop_operation_xyz
'x,y,z'
'-x,-y,z'
'-x,y,z'
'x,-y,z'
'x+1/2,y+1/2,z+1/2'
'-x+1/2,-y+1/2,z+1/2'
'-x+1/2,y+1/2,z+1/2'
'x+1/2,-y+1/2,z+1/2'
loop_
_atom_site_label
_atom_site_fract_x
_atom_site_fract_y
_atom_site_fract_z
Ba1 0.000 0.000 0.000
Ba2 0.000 0.500 0.202
Zr1 0.000 0.000 0.425
In1 0.000 0.500 0.749
```

=====

It is found that the electronic total energy values, taken in the order of the records, are -43.46, -19.88, -43.07, -15.45, -28.74, -14.51 eV per formula unit.